Record 1
PBE Cs2NaBi2, relaxed; DFT total energy = -2.46 eV/atom; energy relative to the lowest polymorph listed for this composition = 0.0000 eV per atom; density of states at the Fermi level = 12.3 states/eV per cell; crystal system = monoclinic; DFT formation energy = -0.3058 eV/atom
1.0
7.845 0.000 0.000
-3.922 6.008 0.350
0.000 -2.194 10.217
Bi Na Cs
4 2 4
direct
0.705 0.716 0.491
0.295 0.284 0.509
0.989 0.284 0.009
0.011 0.716 0.991
0.934 0.000 0.250
0.066 0.000 0.750
0.513 0.300 0.152
0.213 0.700 0.348
0.787 0.300 0.652
0.487 0.700 0.848

Record 2
PBE ThNbOs2, relaxed; DFT total energy = -10.13 eV/atom; density of states at the Fermi level = 3.9 states/eV per cell; crystal system = tetragonal; DFT formation energy = -0.1430 eV/atom
1.0
-1.086 0.330 -2.992
-2.718 -1.476 0.824
-3.014 6.562 1.818
Os Nb Th
2 1 1
direct
0.000 0.000 0.205
0.000 0.000 0.795
0.500 0.500 0.000
0.500 0.500 0.500

Record 3
PBE Sc2AuSe2, relaxed; DFT total energy = -5.73 eV/atom; energy relative to the lowest polymorph listed for this composition = 0.0000 eV per atom; formation energy (no corrections) = -1.151 eV per atom; density of states at the Fermi level = 4.8 states/eV per cell; crystal system = tetragonal
1.0
7.548 0.000 0.000
0.000 7.548 0.000
0.000 0.000 3.584
Sc Se Au
4 4 2
direct
0.650 0.150 0.000
0.150 0.350 0.000
0.850 0.650 0.000
0.350 0.850 0.000
0.852 0.352 0.500
0.352 0.148 0.500
0.648 0.852 0.500
0.148 0.648 0.500
0.500 0.500 0.000
0.000 0.000 0.000

Record 4
PBE Tl3Hg4Bi, relaxed; DFT total energy = -1.52 eV/atom; energy relative to the lowest polymorph listed for this composition = 0.0000 eV per atom; density of states at the Fermi level = 2.7 states/eV per cell; crystal system = triclinic; DFT formation energy = 0.0010 eV/atom
1.0
-1.365 6.096 -0.665
-0.974 -0.703 -3.262
-9.790 -5.378 2.355
Hg Tl Bi
4 3 1
direct
0.567 0.173 0.753
0.433 0.827 0.247
0.039 0.660 0.747
0.961 0.340 0.253
0.500 0.500 0.000
0.743 0.254 0.484
0.257 0.746 0.516
0.000 0.000 0.000

Record 5
PBE BaSc2Cu2, relaxed; DFT total energy = -4.41 eV/atom; energy relative to the lowest polymorph listed for this composition = 0.1024 eV per atom; density of states at the Fermi level = 6.0 states/eV per cell; crystal system = tetragonal; DFT formation energy = 0.1456 eV/atom
1.0
4.960 0.000 0.000
0.000 4.960 0.000
2.480 2.480 5.364
Sc Cu Ba
2 2 1
direct
0.341 0.341 0.318
0.659 0.659 0.682
0.250 0.750 0.500
0.750 0.250 0.500
0.000 0.000 0.000

Record 6
PBE ScInAgSn, relaxed; DFT total energy = -4.13 eV/atom; energy relative to the lowest polymorph listed for this composition = 0.1950 eV per atom; density of states at the Fermi level = 2.2 states/eV per cell; crystal system = cubic; DFT formation energy = -0.1534 eV/atom
1.0
-1.274 0.675 -4.802
-3.433 -2.973 -2.125
-4.524 1.825 -1.161
Sn Sc Ag In
1 1 1 1
direct
0.250 0.250 0.250
0.500 0.500 0.500
0.000 0.000 0.000
0.750 0.750 0.750